Material: Nd2HoP3
Method: DFT, GGA-PBE
State: optimized geometry

For the energy of formation from the pure elements, the calculation gives -1.55 eV per atom.

a = 7.118 Å, b = 12.328 Å, c = 7.117 Å
α = 90.00°, β = 109.46°, γ = 90.00°
Space group C2/m (No. 12)
Inequivalent atoms, fractional coordinates:
Nd 0.000 0.000 0.000 x2
Nd 0.000 0.166 0.500 x4
Nd 0.000 0.500 0.500 x2
Ho 0.000 0.333 0.000 x4
P 0.242 0.500 0.242 x4
P 0.249 0.330 0.757 x8